Material: K2TaAg
Method: DFT, PBEsol
State: optimized geometry

Computed properties:
The value obtained for the total moment is 0.000 μB per cell. The value obtained for the formation enthalpy at 0 K is 1.12 eV per atom. Its crystal system is monoclinic.

Cell lengths 2.7977, 6.0604, 5.7093 Å; angles 90.00, 92.42, 90.00 degrees
Fractional coordinates of all 4 atoms:
K 0.2428 0.0000 0.2593
K 0.7572 0.0000 0.7407
Ta 0.5000 0.5000 0.0000
Ag 0.0000 0.5000 0.5000